A plane-wave DFT calculation with PBE+U was carried out for an optimized crystal structure of Pr5Te7MoCl3O23.

```
data_Pr5Te7MoCl3O23
_chemical_formula_sum 'Pr20 Te28 Mo4 Cl12 O92'
_cell_length_a 7.747
_cell_length_b 18.791
_cell_length_c 18.718
_cell_angle_alpha 90.00
_cell_angle_beta 97.49
_cell_angle_gamma 90.00
_space_group_name_H-M_alt 'C 1 2 1'
_space_group_IT_number 5
loop_
_space_group_symop_operation_xyz
'x,y,z'
'-x,y,-z'
'x+1/2,y+1/2,z'
'-x+1/2,y+1/2,-z'
loop_
_atom_site_label
_atom_site_fract_x
_atom_site_fract_y
_atom_site_fract_z
_atom_site_occupancy
Pr1 0.000 0.000 0.000 1
Pr2 0.000 0.469 0.000 1
Pr3 0.053 0.001 0.240 1
Pr4 0.056 0.486 0.242 1
Pr5 0.136 0.854 0.633 1
Pr6 0.139 0.632 0.636 1
Te1 0.000 0.238 0.262 1
Te2 0.133 0.074 0.612 1
Te3 0.137 0.416 0.606 1
Te4 0.204 0.614 0.113 1
Te5 0.210 0.865 0.120 1
Te6 0.241 0.633 0.857 1
Te7 0.248 0.348 0.149 1
Mo1 0.237 0.740 0.474 1
Cl1 0.000 0.299 0.000 1
Cl2 0.000 0.546 0.500 1
Cl3 0.000 0.709 0.000 1
Cl4 0.000 0.942 0.500 1
Cl5 0.060 0.737 0.207 1
O1 0.016 0.740 0.421 1
O2 0.026 0.317 0.199 1
O3 0.027 0.572 0.885 1
O4 0.029 0.902 0.888 1
O5 0.032 0.108 0.327 1
O6 0.035 0.172 0.188 1
O7 0.046 0.392 0.338 1
O8 0.101 0.059 0.113 1
O9 0.106 0.427 0.120 1
O10 0.112 0.236 0.588 1
O11 0.143 0.985 0.662 1
O12 0.147 0.598 0.338 1
O13 0.160 0.875 0.345 1
O14 0.173 0.894 0.762 1
O15 0.179 0.503 0.660 1
O16 0.179 0.588 0.765 1
O17 0.219 0.053 0.807 1
O18 0.222 0.431 0.805 1
O19 0.227 0.320 0.474 1
O20 0.228 0.162 0.471 1
O21 0.231 0.243 0.311 1
O22 0.242 0.553 0.036 1
O23 0.242 0.923 0.040 1
```

Summary:
mass density: 5.33 Mg/m³
electronic total energy: -991.06 eV for the cell shown